No. 1
## NbS2Br (PBE)

Data for crystalline NbS2Br at its relaxed geometry.

Values from the calculation:
relative energy among the computed polymorphs	902	meV/atom
formation energy (no corrections)	0.239	eV per atom

Cell: 6.5120 6.5120 6.5120 Å, 90.00 90.00 90.00°
With the nearest neighbours (Å) after each atom.
Space group Fm-3m (No. 225)
Unique sites:
Nb: 0.0000 0.0000 0.0000 x4  8 S 2.82
S: 0.2500 0.2500 0.2500 x8  4 Nb 2.82, 4 Br 2.82
Br: 0.0000 0.0000 0.5000 x4  8 S 2.82



No. 2
## NbS8Br2 (PBE)

Data for crystalline NbS8Br2 at its relaxed geometry.

Values from the calculation:
formation energy (no corrections)	-0.084	eV per atom

Cell: 6.0220 6.3793 9.0652 Å, 87.81 71.70 87.68°
With the nearest neighbours (Å) after each atom.
Space group P-1 (No. 2)
Unique sites:
Nb: 0.0000 0.0000 0.0000 x1  8 S 2.46-2.72
S: 0.0034 0.8520 0.7289 x2  1 S 2.04
S: 0.0424 0.1672 0.7406 x2  1 S 2.04
S: 0.1173 0.5869 0.0245 x2  1 S 1.99
S: 0.4236 0.0588 0.9203 x2  1 S 2.05
Br: 0.3480 0.6747 0.5992 x2  1 S 2.31



No. 3
## Nb2SBr3 (PBE)

Data for crystalline Nb2SBr3 at its relaxed geometry.

Values from the calculation:
formation energy (no corrections)	-0.810	eV per atom

Cell: 25.1530 3.4521 7.2597 Å, 90.00 96.31 90.00°
With the nearest neighbours (Å) after each atom.
Space group C2/m (No. 12)
Unique sites:
Nb: 0.0774 0.0000 0.1441 x4  2 S 2.43-2.70, 2 Br 2.68
Nb: 0.0984 0.5000 0.8410 x4  2 S 2.45, 3 Br 2.63-2.72
S: 0.0290 0.0000 0.8362 x4  4 Nb 2.43-2.70
Br: 0.0666 0.5000 0.4510 x4  3 Nb 2.86
Br: 0.1592 0.5000 0.1598 x4  3 Nb 2.63-2.68
Br: 0.1735 0.0000 0.7386 x4  2 Nb 2.72



No. 4
## NbSBr (PBE)

Data for crystalline NbSBr at its relaxed geometry.

Values from the calculation:
formation energy (no corrections)	-1.024	eV per atom

Cell: 10.3898 10.3898 10.3898 Å, 90.00 90.00 90.00°
With the nearest neighbours (Å) after each atom.
Space group F-43m (No. 216)
Unique sites:
Nb: 0.1010 0.1010 0.3990 x16  3 S 2.42
S: 0.1289 0.1289 0.6289 x16  3 Nb 2.42
Br: 0.1287 0.1287 0.1287 x16  3 Nb 2.84



No. 5
## NbSBr3 (PBE)

Data for crystalline NbSBr3 at its relaxed geometry.

Values from the calculation:
relative energy among the computed polymorphs	0	meV/atom
formation energy (no corrections)	-0.861	eV per atom

Cell: 7.2683 14.6375 12.8482 Å, 90.00 96.23 90.00°
With the nearest neighbours (Å) after each atom.
Space group C2/c (No. 15)
Unique sites:
Nb: 0.0690 0.0588 0.1504 x8  2 S 2.47-2.53, 4 Br 2.52-2.76
S: 0.1291 0.1807 0.2893 x8  1 S 2.03
Br: 0.1395 0.0918 0.5304 x8  2 Nb 2.68-2.77
Br: 0.1503 0.3710 0.9170 x8  1 Nb 2.52
Br: 0.2289 0.0426 0.7996 x8  2 Nb 2.60-2.76



No. 6
## NbS4Br (PBE)

Data for crystalline NbS4Br at its relaxed geometry.

Values from the calculation:
formation energy (no corrections)	-0.072	eV per atom

Cell: 6.8318 6.8318 11.1255 Å, 90.00 90.00 90.00°
With the nearest neighbours (Å) after each atom.
Space group I4_1/a (No. 88, origin choice 2)
Unique sites:
Nb: 0.0000 0.2500 0.1250 x4  8 S 2.54-2.69
S: 0.0894 0.1276 0.9162 x16  1 S 2.07
Br: 0.0000 0.2500 0.6250 x4  4 S 2.96



No. 7
## Nb2S4Br (PBE)

Data for crystalline Nb2S4Br at its relaxed geometry.

Values from the calculation:
formation energy (no corrections)	-0.750	eV per atom

Cell: 6.9894 12.7797 6.3014 Å, 90.00 90.00 90.00°
With the nearest neighbours (Å) after each atom.
Space group Ima2 (No. 46)
Unique sites:
Nb: 0.0000 0.0000 0.0000 x4  6 S 2.54-2.66, 2 Br 2.70
Nb: 0.2500 0.1950 0.5788 x4  7 S 2.45-2.61
S: 0.0058 0.1957 0.8583 x8  3 Nb 2.45-2.66
S: 0.2500 0.0056 0.7066 x4  3 Nb 2.54-2.55
S: 0.2500 0.1139 0.2157 x4  4 Nb 2.51-2.65
Br: 0.2500 0.6123 0.7333 x4  2 Nb 2.70, 1 S 2.89



No. 8
## NbSBr3 (PBE)

Data for crystalline NbSBr3 at its relaxed geometry.

Values from the calculation:
relative energy among the computed polymorphs	1039	meV/atom
formation energy (no corrections)	0.178	eV per atom

Cell: 5.1297 5.1297 5.1297 Å, 90.00 90.00 90.00°
With the nearest neighbours (Å) after each atom.
Space group Pm-3m (No. 221)
Unique sites:
Nb: 0.0000 0.0000 0.0000 x1  6 Br 2.56
S: 0.5000 0.5000 0.5000 x1  12 Br 3.63
Br: 0.0000 0.0000 0.5000 x3  2 Nb 2.56



No. 9
## NbSBr3 (PBE)

Data for crystalline NbSBr3 at its relaxed geometry.

Values from the calculation:
relative energy among the computed polymorphs	220	meV/atom
formation energy (no corrections)	-0.640	eV per atom

Cell: 6.7328 7.2825 6.7620 Å, 90.00 95.02 90.00°
With the nearest neighbours (Å) after each atom.
Space group P2_1/m (No. 11)
Unique sites:
Nb: 0.0199 0.2500 0.0198 x2  1 S 2.18
S: 0.2580 0.2500 0.2600 x2  1 Nb 2.18
Br: 0.1944 0.0000 0.8087 x4  2 Nb 2.65
Br: 0.2732 0.7500 0.2746 x2  1 Nb 2.68



No. 10
## NbSe2SBr (PBE)

Data for crystalline NbSe2SBr at its relaxed geometry.

Values from the calculation:
relative energy among the computed polymorphs	0	meV/atom
formation energy (no corrections)	0.210	eV per atom

Cell: 5.0255 5.0255 5.2449 Å, 90.00 90.00 90.00°
With the nearest neighbours (Å) after each atom.
Space group P4/mmm (No. 123)
Unique sites:
Nb: 0.0000 0.0000 0.0000 x1  4 Se 2.51, 2 Br 2.62
Se: 0.0000 0.5000 0.0000 x2  2 Nb 2.51
S: 0.5000 0.5000 0.5000 x1  4 Br 3.55, 8 Se 3.63
Br: 0.0000 0.0000 0.5000 x1  2 Nb 2.62



No. 11
## NbSe2SBr (PBE)

Data for crystalline NbSe2SBr at its relaxed geometry.

Values from the calculation:
relative energy among the computed polymorphs	560	meV/atom
formation energy (no corrections)	0.770	eV per atom

Cell: 4.8236 4.8236 5.0016 Å, 90.00 90.00 90.00°
With the nearest neighbours (Å) after each atom.
Space group P4/mmm (No. 123)
Unique sites:
Nb: 0.0000 0.0000 0.0000 x1  4 Br 3.41, 8 Se 3.47
Se: 0.0000 0.5000 0.5000 x2  2 S 2.41
S: 0.5000 0.5000 0.5000 x1  4 Se 2.41, 2 Br 2.50
Br: 0.5000 0.5000 0.0000 x1  2 S 2.50



No. 12
## TaNb2SBr (PBE)

Data for crystalline TaNb2SBr at its relaxed geometry.

Values from the calculation:
formation energy (no corrections)	1.357	eV per atom

Cell: 4.9951 4.9951 4.8979 Å, 90.00 90.00 90.00°
With the nearest neighbours (Å) after each atom.
Space group P4/mmm (No. 123)
Unique sites:
Ta: 0.0000 0.0000 0.0000 x1  2 Br 2.45, 4 Nb 2.50
Nb: 0.0000 0.5000 0.0000 x2  2 Ta 2.50
S: 0.5000 0.5000 0.5000 x1  8 Nb 3.50, 4 Br 3.53
Br: 0.0000 0.0000 0.5000 x1  2 Ta 2.45



> Which formula does entry 5 have?

NbSBr3



Repeat the third record exactly.
## Nb2SBr3 (PBE)

Data for crystalline Nb2SBr3 at its relaxed geometry.

Values from the calculation:
formation energy (no corrections)	-0.810	eV per atom

Cell: 25.1530 3.4521 7.2597 Å, 90.00 96.31 90.00°
With the nearest neighbours (Å) after each atom.
Space group C2/m (No. 12)
Unique sites:
Nb: 0.0774 0.0000 0.1441 x4  2 S 2.43-2.70, 2 Br 2.68
Nb: 0.0984 0.5000 0.8410 x4  2 S 2.45, 3 Br 2.63-2.72
S: 0.0290 0.0000 0.8362 x4  4 Nb 2.43-2.70
Br: 0.0666 0.5000 0.4510 x4  3 Nb 2.86
Br: 0.1592 0.5000 0.1598 x4  3 Nb 2.63-2.68
Br: 0.1735 0.0000 0.7386 x4  2 Nb 2.72



> What is the formation energy (no corrections) in the eleventh record?

0.770 eV per atom